No. 1
The following is a GGA-PBE calculation of a relaxed structure of Rh2C2Br, from the Alexandria database.

Unit cell a=6.909 b=6.909 c=3.174 alpha=90.00 beta=90.00 gamma=90.00
Sites, in units of the cell vectors:
Rh 0.134 0.366 0.000
Rh 0.366 0.866 0.000
Rh 0.634 0.134 0.000
Rh 0.866 0.634 0.000
C 0.072 0.572 0.500
C 0.428 0.072 0.500
C 0.572 0.928 0.500
C 0.928 0.428 0.500
Br 0.000 0.000 0.000
Br 0.500 0.500 0.000

SG: P4/mbm, No. 127
Offset from the most stable computed form, meV per atom: 418
Density of states at the Fermi level, states/eV per atom: 1.174

***

No. 2
The following is a GGA-PBE calculation of a relaxed structure of RhCBr2, from the Alexandria database.

Unit cell a=7.688 b=7.688 c=7.688 alpha=28.87 beta=28.87 gamma=28.87
Sites, in units of the cell vectors:
Rh 0.000 0.000 0.000
C 0.500 0.500 0.500
Br 0.397 0.397 0.397
Br 0.603 0.603 0.603

SG: R-3m, No. 166
Offset from the most stable computed form, meV per atom: 0
Density of states at the Fermi level, states/eV per atom: 1.018

***

No. 3
The following is a GGA-PBE calculation of a relaxed structure of Rh2CBr, from the Alexandria database.

Unit cell a=4.263 b=4.263 c=4.263 alpha=60.00 beta=60.00 gamma=60.00
Sites, in units of the cell vectors:
Rh 0.250 0.250 0.250
Rh 0.750 0.750 0.750
C 0.000 0.000 0.000
Br 0.500 0.500 0.500

SG: Fm-3m, No. 225
Offset from the most stable computed form, meV per atom: 998
Density of states at the Fermi level, states/eV per atom: 1.245

***

No. 4
The following is a GGA-PBE calculation of a relaxed structure of RhC2Br, from the Alexandria database.

Unit cell a=4.065 b=4.065 c=4.065 alpha=60.00 beta=60.00 gamma=60.00
Sites, in units of the cell vectors:
Rh 0.000 0.000 0.000
C 0.250 0.250 0.250
C 0.750 0.750 0.750
Br 0.500 0.500 0.500

SG: Fm-3m, No. 225
Offset from the most stable computed form, meV per atom: 1153
Density of states at the Fermi level, states/eV per atom: 0.788

***

No. 5
The following is a GGA-PBE calculation of a relaxed structure of RhCSe2Br, from the Alexandria database.

Unit cell a=4.838 b=4.838 c=5.157 alpha=90.00 beta=90.00 gamma=90.00
Sites, in units of the cell vectors:
Rh 0.000 0.000 0.000
C 0.500 0.500 0.500
Se 0.000 0.500 0.000
Se 0.500 0.000 0.000
Br 0.000 0.000 0.500

SG: P4/mmm, No. 123
Offset from the most stable computed form, meV per atom: 233
Density of states at the Fermi level, states/eV per atom: 1.345

***

No. 6
The following is a GGA-PBE calculation of a relaxed structure of RhCSe2Br, from the Alexandria database.

Unit cell a=4.356 b=4.356 c=4.538 alpha=90.00 beta=90.00 gamma=90.00
Sites, in units of the cell vectors:
Rh 0.000 0.000 0.000
C 0.500 0.500 0.500
Se 0.000 0.500 0.500
Se 0.500 0.000 0.500
Br 0.500 0.500 0.000

SG: P4/mmm, No. 123
Offset from the most stable computed form, meV per atom: 0
Density of states at the Fermi level, states/eV per atom: 1.152